Density functional theory data (PBE) for crystalline Ba8Pt3Au2 at its relaxed geometry.

Computed properties:
**Space group**: No. 12
**Spin magnetization**: 0.0 μB/f.u.
**Uncorrected energy**: -3.71 eV/atom
**Crystal system**: monoclinic

Cell lengths 9.6363, 9.6363, 7.8616 Å; angles 107.08, 107.08, 56.58 degrees
Closest atoms and distances in Å follow each position.
Atoms (fractional coordinates):
Ba 0.1077 0.1077 0.4160  3 Pt 3.17, 1 Au 3.42
Ba 0.1219 0.6473 0.0914  2 Pt 3.16, 2 Au 3.41
Ba 0.3527 0.8781 0.9086  2 Pt 3.16, 2 Au 3.41
Ba 0.3894 0.3894 0.5878  2 Pt 3.13, 1 Au 3.45
Ba 0.6106 0.6106 0.4122  2 Pt 3.13, 1 Au 3.45
Ba 0.6473 0.1219 0.0914  2 Pt 3.16, 2 Au 3.41
Ba 0.8781 0.3527 0.9086  2 Pt 3.16, 2 Au 3.41
Ba 0.8923 0.8923 0.5840  3 Pt 3.17, 1 Au 3.42
Pt 0.0000 0.0000 0.0000  6 Ba 3.16-3.17
Pt 0.2561 0.7439 0.5000  6 Ba 3.13-3.17
Pt 0.7439 0.2561 0.5000  6 Ba 3.13-3.17
Au 0.2558 0.2558 0.8357  6 Ba 3.41-3.45
Au 0.7442 0.7442 0.1643  6 Ba 3.41-3.45

***

Density functional theory data (PBE) for crystalline Ba16Pt3Au5 at its relaxed geometry.

Computed properties:
**Space group**: No. 8
**Spin magnetization**: 0.0 μB/f.u.
**Uncorrected energy**: -3.29 eV/atom
**Crystal system**: monoclinic

Cell lengths 9.4220, 9.4220, 15.2519 Å; angles 90.10, 90.10, 59.76 degrees
Closest atoms and distances in Å follow each position.
Atoms (fractional coordinates):
Ba 0.0000 0.0000 0.0000  1 Pt 3.15, 2 Au 3.28
Ba 0.0004 0.0004 0.4974  2 Pt 3.17, 1 Au 3.30
Ba 0.0135 0.4756 0.0096  1 Pt 3.17, 2 Au 3.31-3.33
Ba 0.1576 0.1576 0.2737  2 Pt 3.19, 1 Au 3.37
Ba 0.1668 0.6713 0.2687  1 Pt 3.16, 2 Au 3.29-3.34
Ba 0.3197 0.3197 0.7696  1 Pt 3.15, 2 Au 3.28
Ba 0.3219 0.8391 0.7694  1 Pt 3.18, 2 Au 3.31-3.33
Ba 0.4756 0.0135 0.0096  1 Pt 3.17, 2 Au 3.31-3.33
Ba 0.4835 0.4835 0.0129  3 Au 3.27-3.29
Ba 0.4959 0.9728 0.5077  1 Pt 3.15, 2 Au 3.29-3.32
Ba 0.5050 0.5050 0.5049  2 Pt 3.19, 1 Au 3.34
Ba 0.6554 0.6554 0.2731  2 Pt 3.17, 1 Au 3.29
Ba 0.6713 0.1668 0.2687  1 Pt 3.16, 2 Au 3.29-3.34
Ba 0.8316 0.8316 0.7620  3 Au 3.27-3.30
Ba 0.8391 0.3219 0.7694  1 Pt 3.18, 2 Au 3.31-3.33
Ba 0.9728 0.4959 0.5077  1 Pt 3.15, 2 Au 3.29-3.32
Pt 0.1612 0.1612 0.8873  6 Ba 3.15-3.18
Pt 0.3293 0.8274 0.3865  6 Ba 3.15-3.19
Pt 0.8274 0.3293 0.3865  6 Ba 3.15-3.19
Au 0.1609 0.6589 0.8853  6 Ba 3.27-3.31
Au 0.3275 0.3275 0.1493  6 Ba 3.29-3.37
Au 0.6589 0.1609 0.8853  6 Ba 3.27-3.31
Au 0.6605 0.6605 0.6473  6 Ba 3.30-3.34
Au 0.8277 0.8277 0.3854  6 Ba 3.29-3.30

***

Density functional theory data (PBE) for crystalline Ba4Pt2Au5 at its relaxed geometry.

Computed properties:
**Space group**: No. 10
**Spin magnetization**: 0.0 μB/f.u.
**Uncorrected energy**: -3.98 eV/atom
**Crystal system**: monoclinic

Cell lengths 7.8233, 4.4079, 9.4907 Å; angles 90.00, 93.47, 90.00 degrees
Closest atoms and distances in Å follow each position.
Atoms (fractional coordinates):
Ba 0.2143 0.0000 0.1433  8 Au 3.36-3.68, 2 Pt 3.37
Ba 0.2516 0.0000 0.6133  4 Pt 3.25-3.50, 6 Au 3.40-3.50
Ba 0.7484 0.0000 0.3867  4 Pt 3.25-3.50, 6 Au 3.40-3.50
Ba 0.7857 0.0000 0.8567  8 Au 3.36-3.68, 2 Pt 3.37
Pt 0.0515 0.5000 0.3681  1 Pt 2.68, 2 Au 2.75-2.80
Pt 0.9485 0.5000 0.6319  1 Pt 2.68, 2 Au 2.75-2.80
Au 0.1636 0.5000 0.8721  1 Pt 2.75, 1 Au 2.83
Au 0.4087 0.5000 0.3663  1 Pt 2.80, 1 Au 2.84
Au 0.5000 0.5000 0.0000  2 Au 2.83
Au 0.5913 0.5000 0.6337  1 Pt 2.80, 1 Au 2.84
Au 0.8364 0.5000 0.1279  1 Pt 2.75, 1 Au 2.83

***

Density functional theory data (PBE) for crystalline Ba8PtAu3 at its relaxed geometry.

Computed properties:
**Space group**: No. 21
**Spin magnetization**: 0.0 μB/f.u.
**Uncorrected energy**: -3.16 eV/atom
**Crystal system**: orthorhombic

Cell lengths 8.2289, 8.2289, 9.4290 Å; angles 90.00, 90.00, 111.31 degrees
Closest atoms and distances in Å follow each position.
Atoms (fractional coordinates):
Ba 0.2291 0.2440 0.2405  1 Pt 3.16, 2 Au 3.29-3.30
Ba 0.2322 0.7678 0.0000  1 Pt 3.16, 2 Au 3.32
Ba 0.2418 0.7582 0.5000  3 Au 3.29-3.31
Ba 0.2440 0.2291 0.7595  1 Pt 3.16, 2 Au 3.29-3.30
Ba 0.7560 0.7709 0.7595  1 Pt 3.16, 2 Au 3.29-3.30
Ba 0.7582 0.2418 0.5000  3 Au 3.29-3.31
Ba 0.7678 0.2322 0.0000  1 Pt 3.16, 2 Au 3.32
Ba 0.7709 0.7560 0.2405  1 Pt 3.16, 2 Au 3.29-3.30
Pt 0.0000 0.0000 0.0000  6 Ba 3.16
Au 0.0000 0.0000 0.5000  6 Ba 3.29
Au 0.0000 0.5000 0.2505  6 Ba 3.30-3.32
Au 0.5000 0.0000 0.7495  6 Ba 3.30-3.32

***

Density functional theory data (PBE) for crystalline Ba2PtAu2 at its relaxed geometry.

Computed properties:
**Space group**: No. 12
**Spin magnetization**: 0.0 μB/f.u.
**Uncorrected energy**: -4.01 eV/atom
**Crystal system**: monoclinic

Cell lengths 6.4394, 6.4394, 12.5631 Å; angles 115.47, 115.47, 41.92 degrees
Closest atoms and distances in Å follow each position.
Atoms (fractional coordinates):
Ba 0.0851 0.0851 0.3875  2 Pt 3.27, 6 Au 3.34-3.54
Ba 0.3040 0.3040 0.8667  4 Pt 3.41-3.65, 7 Au 3.43-3.65
Ba 0.6960 0.6960 0.1333  4 Pt 3.41-3.65, 7 Au 3.43-3.65
Ba 0.9149 0.9149 0.6125  2 Pt 3.27, 6 Au 3.34-3.54
Pt 0.4266 0.4266 0.1919  3 Au 2.77-2.78
Pt 0.5734 0.5734 0.8081  3 Au 2.77-2.78
Au 0.0388 0.0388 0.9114  2 Pt 2.77, 1 Au 2.78
Au 0.3661 0.3661 0.3806  1 Pt 2.78
Au 0.6339 0.6339 0.6194  1 Pt 2.78
Au 0.9612 0.9612 0.0886  2 Pt 2.77, 1 Au 2.78

***

Density functional theory data (PBE) for crystalline Ba12PtAu5 at its relaxed geometry.

Computed properties:
**Space group**: No. 12
**Spin magnetization**: 0.0 μB/f.u.
**Uncorrected energy**: -3.05 eV/atom
**Crystal system**: monoclinic

Cell lengths 8.3113, 8.3113, 15.3788 Å; angles 90.04, 90.04, 121.14 degrees
Closest atoms and distances in Å follow each position.
Atoms (fractional coordinates):
Ba 0.0019 0.6820 0.8873  1 Pt 3.17, 2 Au 3.29-3.30
Ba 0.1630 0.1630 0.3846  3 Au 3.27-3.29
Ba 0.1694 0.5023 0.6169  3 Au 3.28-3.29
Ba 0.3180 0.9981 0.1127  1 Pt 3.17, 2 Au 3.29-3.30
Ba 0.3226 0.3226 0.8879  1 Pt 3.15, 2 Au 3.31
Ba 0.4977 0.8306 0.3831  3 Au 3.28-3.29
Ba 0.5023 0.1694 0.6169  3 Au 3.28-3.29
Ba 0.6774 0.6774 0.1121  1 Pt 3.15, 2 Au 3.31
Ba 0.6820 0.0019 0.8873  1 Pt 3.17, 2 Au 3.29-3.30
Ba 0.8306 0.4977 0.3831  3 Au 3.28-3.29
Ba 0.8370 0.8370 0.6155  3 Au 3.27-3.29
Ba 0.9981 0.3180 0.1127  1 Pt 3.17, 2 Au 3.29-3.30
Pt 0.0000 0.0000 0.0000  6 Ba 3.15-3.17
Au 0.1673 0.8327 0.5000  6 Ba 3.28-3.29
Au 0.3327 0.6673 0.0000  6 Ba 3.29-3.31
Au 0.5000 0.5000 0.5000  6 Ba 3.27-3.29
Au 0.6673 0.3327 0.0000  6 Ba 3.29-3.31
Au 0.8327 0.1673 0.5000  6 Ba 3.28-3.29